[1]
A plane-wave DFT calculation with GGA-PBE was carried out for a geometry-optimized TlHg2Se structure.

```
TlHg2Se
1.0
3.7346 -2.1733 0.0000
3.7346 2.1733 0.0000
-2.4837 0.0000 7.2340
Tl Hg Se
1 2 1
Direct
0.0000 0.0000 0.0000 Tl
0.2308 0.2308 0.6939 Hg
0.4832 0.4832 0.4531 Hg
0.7436 0.7436 0.2375 Se
```

Output
Formation energy without anion corrections in kJ/mol of formula units: -50
Fermi-level density of states in states/eV/f.u.: 2.0

[2]
A plane-wave DFT calculation with GGA-PBE was carried out for a geometry-optimized TlHg2Se structure.

```
TlHg2Se
1.0
1.9551 -2.5230 0.0000
1.9551 2.5230 0.0000
0.0000 0.0000 10.6672
Tl Hg Se
1 2 1
Direct
0.0000 0.0000 0.0000 Tl
0.5000 0.5000 0.2618 Hg
0.5000 0.5000 0.7382 Hg
0.0000 0.0000 0.5000 Se
```

Output
Formation energy without anion corrections in kJ/mol of formula units: 44
Fermi-level density of states in states/eV/f.u.: 1.1

[3]
A plane-wave DFT calculation with GGA-PBE was carried out for a geometry-optimized TlHg2Se structure.

```
TlHg2Se
1.0
1.7109 0.9878 11.8675
-1.7109 0.9878 11.8675
0.0000 -1.9756 11.8675
Tl Hg Se
1 2 1
Direct
0.0000 0.0000 0.0000 Tl
0.5125 0.5125 0.5125 Hg
0.7609 0.7609 0.7609 Hg
0.2679 0.2679 0.2679 Se
```

Output
Formation energy without anion corrections in kJ/mol of formula units: 32
Fermi-level density of states in states/eV/f.u.: 2.3

[4]
A plane-wave DFT calculation with GGA-PBE was carried out for a geometry-optimized Tl2HgSe2 structure.

```
Tl2HgSe2
1.0
2.2507 -8.4149 0.0000
2.2507 8.4149 0.0000
0.0000 0.0000 8.5589
Tl Hg Se
4 2 4
Direct
0.0604 0.9396 0.5000 Tl
0.1857 0.8143 0.8296 Tl
0.8143 0.1857 0.3296 Tl
0.9396 0.0604 0.0000 Tl
0.4068 0.5932 0.6617 Hg
0.5932 0.4068 0.1617 Hg
0.1808 0.8192 0.1978 Se
0.4551 0.5449 0.3423 Se
0.5449 0.4551 0.8423 Se
0.8192 0.1808 0.6978 Se
```

Output
Formation energy without anion corrections in kJ/mol of formula units: -142